40
Lattice="5.621 0.000 0.000 0.000 10.940 0.000 -0.405 0.000 9.526" Properties=species:S:1:pos:R:3 comment="GGA+U BaCaNiF7, relaxed" spacegroup="No. 14" final_energy_ev_per_atom=-4.998 crystal_system=monoclinic pbc="T T T"
Ba 1.102 1.685 4.549
Ba 0.900 3.785 9.312
Ba 4.316 7.155 0.214
Ba 4.114 9.255 4.977
Ca 1.099 6.265 3.443
Ca 0.896 10.144 8.206
Ca 4.319 0.796 1.320
Ca 4.117 4.674 6.083
Ni 1.424 7.151 6.668
Ni 1.627 9.259 1.904
Ni 3.589 1.681 7.622
Ni 3.791 3.789 2.859
F -0.143 8.014 7.347
F 0.059 8.396 2.583
F 0.575 5.745 1.360
F 0.372 10.665 6.123
F 0.585 5.617 5.828
F 0.788 10.793 1.065
F 1.009 8.020 5.019
F 1.211 8.390 0.256
F 1.901 6.114 8.152
F 2.103 10.296 3.389
F 1.969 1.184 8.584
F 2.171 4.286 3.821
F 2.672 7.752 2.590
F 2.469 8.658 7.353
F 2.746 2.282 2.173
F 2.544 3.188 6.936
F 3.044 6.654 5.705
F 3.247 9.756 0.942
F 3.113 0.644 6.138
F 3.315 4.826 1.375
F 4.004 2.550 9.271
F 4.207 2.920 4.507
F 4.428 0.147 8.461
F 4.630 5.323 3.698
F 4.843 0.275 3.403
F 4.641 5.195 8.166
F 5.157 2.544 6.943
F 5.359 2.926 2.180